Entry from Alexandria via LeMat-Bulk: a relaxed ErCu6 crystal (PBE).

ΔH_f (0 K): 3.40 eV/f.u.
E above lowest polymorph: 0.000 eV per atom
Theoretical density: 7026 kg/m³

Cell: 6.3767 6.3767 6.3767 Å, 90.00 90.00 90.00°
Space group Im-3m (No. 229)
One atom of each set of equivalent atoms:
Er 0.0000 0.0000 0.0000 (multiplicity 2)
Cu 0.0000 0.2500 0.5000 (multiplicity 12)

---

Entry from Alexandria via LeMat-Bulk: a relaxed Er3Cu crystal (PBE).

ΔH_f (0 K): -0.31 eV/f.u.
Theoretical density: 9149 kg/m³

Cell: 3.5813 10.9898 5.2142 Å, 90.00 90.00 90.00°
Space group Imm2 (No. 44)
One atom of each set of equivalent atoms:
Er 0.0000 0.0000 0.9999 (multiplicity 2)
Er 0.0000 0.2050 0.5000 (multiplicity 4)
Cu 0.0000 0.5000 0.9974 (multiplicity 2)

---

Entry from Alexandria via LeMat-Bulk: a relaxed Er2Cu3 crystal (PBE).

ΔH_f (0 K): -1.16 eV/f.u.
Theoretical density: 9300 kg/m³

Cell: 5.1965 9.2733 7.7835 Å, 90.00 90.00 90.00°
Space group Cmce (No. 64)
One atom of each set of equivalent atoms:
Er 0.0000 0.1616 0.0974 (multiplicity 8)
Cu 0.0000 0.0000 0.5000 (multiplicity 4)
Cu 0.2500 0.0936 0.7500 (multiplicity 8)

---

Entry from Alexandria via LeMat-Bulk: a relaxed Er3Cu2 crystal (PBE).

ΔH_f (0 K): -0.74 eV/f.u.
Theoretical density: 8952 kg/m³

Cell: 15.0884 4.6074 10.0699 Å, 90.00 91.05 90.00°
Space group C2/m (No. 12)
One atom of each set of equivalent atoms:
Er 0.0000 0.0000 0.0000 (multiplicity 2)
Er 0.0409 0.0000 0.3329 (multiplicity 4)
Er 0.1112 0.5000 0.5851 (multiplicity 4)
Er 0.1572 0.5000 0.9386 (multiplicity 4)
Er 0.2272 0.5000 0.2745 (multiplicity 4)
Cu 0.0447 0.5000 0.1669 (multiplicity 4)
Cu 0.1627 0.0000 0.1279 (multiplicity 4)
Cu 0.2082 0.0000 0.4634 (multiplicity 4)